# Mg6PtRh2

An optimized crystal structure of Mg6PtRh2 (PBE-GGA, the Alexandria database).

Results
As for the polymorph energy (0 for the lowest one): 5 meV per atom. Its energy is -69.07 eV for the cell shown.

Cell lengths 8.4548, 8.4667, 4.3581 Å; angles 90.00, 90.00, 90.00 degrees
Closest atoms and distances in Å follow each position.
Space group Pnnm (No. 58)
Inequivalent atoms, fractional coordinates:
Mg 0.0284 0.1874 0.0000  1 Pt 2.66, 3 Rh 2.77-2.78, 1 Mg 2.94
Mg 0.1287 0.6278 0.5000  2 Pt 2.67, 2 Rh 2.85-2.86, 2 Mg 2.94
Mg 0.1871 0.9706 0.5000  1 Pt 2.66, 3 Rh 2.78-2.79, 1 Mg 2.94
Pt 0.0000 0.5000 0.0000  8 Mg 2.66-2.67
Rh 0.2006 0.2982 0.5000  10 Mg 2.77-2.99